{
  "formula": "VTeRu",
  "functional": "GGA-PBE",
  "state": "optimized geometry",
  "lattice": [[3.6891, 0.0000, 0.0000], [-1.5241, 4.8516, 0.0000], [-0.2320, -1.3544, 6.1981]],
  "species": ["V", "V", "Te", "Te", "Ru", "Ru"],
  "fractional_positions": [[0.0000, 0.0000, 0.0000], [0.3473, 0.6408, 0.3855], [0.3524, 0.5186, 0.9333], [0.6145, 0.1704, 0.3313], [0.5945, 0.0669, 0.7514], [0.9205, 0.6286, 0.6409]],
  "spacegroup": "P1 (1)",
  "magmom_total_mub_per_fu": 0.0,
  "energy_ev_per_atom": -7.13
}